Material: NaHfTeBr2
Method: DFT, PBE-GGA
State: relaxed

abc: 6.633 5.253 6.633
angles: 90.00 90.00 90.00
Sites, in units of the cell vectors:
1 Te 0.000 0.000 0.000
2 Na 0.500 0.500 0.500
3 Br 0.500 0.000 0.000
4 Br 0.000 0.000 0.500
5 Hf 0.000 0.500 0.000

Computed properties:
M_tot in μB/cell: 1.08
E_form (uncorrected) in eV per atom: 0.212
Space-group type: No. 123
Crystal system: tetragonal